1.
Compound: La4Tl3Au
Source: the Alexandria database
Functional: PBE
Structure: optimized geometry

Unit cell a=3.7768 b=3.7768 c=17.0042 alpha=90.00 beta=90.00 gamma=90.00
Closest atoms and distances in Å follow each position.
Fractional coordinates of all 8 atoms:
La1 0.0000 0.0000 0.1089  4 Au 3.25, 4 Tl 3.48
La2 0.0000 0.0000 0.3698  8 Tl 3.47, 4 La 3.78
La3 0.0000 0.0000 0.6302  8 Tl 3.47, 4 La 3.78
La4 0.0000 0.0000 0.8911  4 Au 3.25, 4 Tl 3.48
Tl1 0.5000 0.5000 0.2400  8 La 3.47-3.48, 4 Tl 3.78
Tl2 0.5000 0.5000 0.5000  8 La 3.47, 4 Tl 3.78
Tl3 0.5000 0.5000 0.7600  8 La 3.47-3.48, 4 Tl 3.78
Au1 0.5000 0.5000 0.0000  8 La 3.25

Summary:
ΔE_f in meV per atom: -515

2.
Compound: La2TlAu
Source: the Alexandria database
Functional: PBE
Structure: optimized geometry

Unit cell a=6.6691 b=6.6691 c=6.6691 alpha=146.05 beta=134.65 gamma=57.84
Closest atoms and distances in Å follow each position.
Fractional coordinates of all 4 atoms:
La1 0.0000 0.0000 0.0000  4 Au 3.23, 2 Tl 3.53
La2 0.7188 0.2188 0.5000  2 Au 3.24, 4 Tl 3.34, 2 La 3.62
Tl1 0.2927 0.7927 0.5000  2 Au 3.08, 4 La 3.34
Au1 0.4966 0.4966 0.0000  2 Tl 3.08, 6 La 3.23-3.24

Summary:
ΔE_f in meV per atom: -516

3.
Compound: La2TlAu3
Source: the Alexandria database
Functional: PBE
Structure: optimized geometry

Unit cell a=9.8977 b=9.8977 c=9.8977 alpha=155.83 beta=155.56 gamma=34.64
Closest atoms and distances in Å follow each position.
Fractional coordinates of all 6 atoms:
La1 0.0000 0.0000 0.0000  4 Au 3.13
La2 0.7219 0.2219 0.5000  8 Au 3.24-3.27
Tl1 0.3970 0.3970 0.0000  3 Au 2.81-3.00
Au1 0.1507 0.6507 0.5000  3 Au 2.76
Au2 0.2969 0.7969 0.5000  1 Au 2.76, 2 Tl 2.81
Au3 0.5557 0.5557 0.0000  2 Au 2.76, 1 Tl 3.00

Summary:
Polymorph energy (0 for the lowest one) in eV per atom: 0.055
ΔE_f in meV per atom: -630

4.
Compound: LaTlZnAu
Source: the Alexandria database
Functional: PBE
Structure: optimized geometry

Unit cell a=5.1242 b=5.1242 c=5.1242 alpha=60.00 beta=60.00 gamma=60.00
Closest atoms and distances in Å follow each position.
Fractional coordinates of all 4 atoms:
La1 0.0000 0.0000 0.0000  4 Zn 3.14, 4 Au 3.14
Tl1 0.5000 0.5000 0.5000  4 Zn 3.14, 4 Au 3.14
Zn1 0.7500 0.7500 0.7500  4 Tl 3.14, 4 La 3.14
Au1 0.2500 0.2500 0.2500  4 Tl 3.14, 4 La 3.14

Summary:
ΔE_f in meV per atom: -457

5.
Compound: LaTm3Au4
Source: the Alexandria database
Functional: PBE
Structure: optimized geometry

Unit cell a=5.0885 b=5.0885 c=7.2871 alpha=90.00 beta=90.00 gamma=90.00
Closest atoms and distances in Å follow each position.
Fractional coordinates of all 8 atoms:
La1 0.0000 0.0000 0.0000  8 Au 3.21
Tm1 0.0000 0.0000 0.5000  8 Au 3.05
Tm2 0.5000 0.5000 0.0000  8 Au 3.21
Tm3 0.5000 0.5000 0.5000  8 Au 3.05
Au1 0.0000 0.5000 0.2687  6 Tm 3.05-3.21, 2 La 3.21, 1 Au 3.37
Au2 0.0000 0.5000 0.7313  6 Tm 3.05-3.21, 2 La 3.21, 1 Au 3.37
Au3 0.5000 0.0000 0.2687  6 Tm 3.05-3.21, 2 La 3.21, 1 Au 3.37
Au4 0.5000 0.0000 0.7313  6 Tm 3.05-3.21, 2 La 3.21, 1 Au 3.37

Summary:
ΔE_f in meV per atom: -845

6.
Compound: La2TmAu2
Source: the Alexandria database
Functional: PBE
Structure: optimized geometry

Unit cell a=8.3504 b=8.3504 c=4.0219 alpha=90.00 beta=90.00 gamma=90.00
Closest atoms and distances in Å follow each position.
Fractional coordinates of all 10 atoms:
La1 0.1683 0.3317 0.0000  6 Au 3.10-3.23
La2 0.3317 0.8317 0.0000  6 Au 3.10-3.23
La3 0.6683 0.1683 0.0000  6 Au 3.10-3.23
La4 0.8317 0.6683 0.0000  6 Au 3.10-3.23
Tm1 0.0000 0.0000 0.5000  4 Au 3.27
Tm2 0.5000 0.5000 0.5000  4 Au 3.27
Au1 0.1317 0.6317 0.5000  6 La 3.10-3.23, 1 Au 3.11, 2 Tm 3.27
Au2 0.3683 0.1317 0.5000  6 La 3.10-3.23, 1 Au 3.11, 2 Tm 3.27
Au3 0.6317 0.8683 0.5000  6 La 3.10-3.23, 1 Au 3.11, 2 Tm 3.27
Au4 0.8683 0.3683 0.5000  6 La 3.10-3.23, 1 Au 3.11, 2 Tm 3.27

Summary:
Polymorph energy (0 for the lowest one) in eV per atom: 0.000
ΔE_f in meV per atom: -668

7.
Compound: La4TmAu5
Source: the Alexandria database
Functional: PBE
Structure: optimized geometry

Unit cell a=3.6955 b=3.6955 c=19.0468 alpha=90.00 beta=90.00 gamma=90.00
Closest atoms and distances in Å follow each position.
Fractional coordinates of all 10 atoms:
La1 0.0000 0.0000 0.1022  8 Au 3.26
La2 0.0000 0.0000 0.3071  8 Au 3.27-3.32
La3 0.0000 0.0000 0.6929  8 Au 3.27-3.32
La4 0.0000 0.0000 0.8978  8 Au 3.26
Tm1 0.0000 0.0000 0.5000  8 Au 3.07
Au1 0.5000 0.5000 0.0000  8 La 3.26
Au2 0.5000 0.5000 0.2042  8 La 3.26-3.27
Au3 0.5000 0.5000 0.4149  4 Tm 3.07, 1 Au 3.24, 4 La 3.32
Au4 0.5000 0.5000 0.5851  4 Tm 3.07, 1 Au 3.24, 4 La 3.32
Au5 0.5000 0.5000 0.7958  8 La 3.26-3.27

Summary:
ΔE_f in meV per atom: -797

8.
Compound: La2TmAu3
Source: the Alexandria database
Functional: PBE
Structure: optimized geometry

Unit cell a=5.1581 b=16.0832 c=3.6736 alpha=90.00 beta=90.00 gamma=90.00
Closest atoms and distances in Å follow each position.
Fractional coordinates of all 12 atoms:
La1 0.2500 0.0806 0.0198  8 Au 3.18-3.54
La2 0.2500 0.4194 0.0198  8 Au 3.18-3.54
La3 0.7500 0.5806 0.9802  8 Au 3.18-3.54
La4 0.7500 0.9194 0.9802  8 Au 3.18-3.54
Tm1 0.2500 0.7500 0.9843  8 Au 3.00-3.17
Tm2 0.7500 0.2500 0.0157  8 Au 3.00-3.17
Au1 0.2500 0.2500 0.5133  4 Tm 3.16-3.17, 4 La 3.27-3.30, 4 Au 3.51
Au2 0.2500 0.6018 0.4821  2 Tm 3.00-3.01, 4 La 3.18-3.19
Au3 0.2500 0.8982 0.4821  2 Tm 3.00-3.01, 4 La 3.18-3.19
Au4 0.7500 0.1018 0.5179  2 Tm 3.00-3.01, 4 La 3.18-3.19
Au5 0.7500 0.3982 0.5179  2 Tm 3.00-3.01, 4 La 3.18-3.19
Au6 0.7500 0.7500 0.4867  4 Tm 3.16-3.17, 4 La 3.27-3.30, 4 Au 3.51

Summary:
ΔE_f in meV per atom: -804

9.
Compound: La3TmAu2
Source: the Alexandria database
Functional: PBE
Structure: optimized geometry

Unit cell a=5.1703 b=9.4747 c=7.1838 alpha=90.00 beta=90.00 gamma=90.00
Closest atoms and distances in Å follow each position.
Fractional coordinates of all 12 atoms:
La1 0.0000 0.0758 0.0000  3 Au 3.06-3.18
La2 0.0000 0.3389 0.3457  4 Au 2.97-3.18
La3 0.0000 0.6611 0.8457  4 Au 2.97-3.18
La4 0.0000 0.9242 0.5000  3 Au 3.06-3.18
La5 0.5000 0.1657 0.6587  4 Au 3.08-3.25
La6 0.5000 0.8343 0.1587  4 Au 3.08-3.25
Tm1 0.5000 0.4284 0.0070  3 Au 2.97-3.14
Tm2 0.5000 0.5716 0.5070  3 Au 2.97-3.14
Au1 0.0000 0.3521 0.7794  5 La 2.97-3.25, 2 Tm 3.14
Au2 0.0000 0.6479 0.2794  5 La 2.97-3.25, 2 Tm 3.14
Au3 0.5000 0.1638 0.2295  1 Tm 2.97, 6 La 3.08-3.18
Au4 0.5000 0.8362 0.7295  1 Tm 2.97, 6 La 3.08-3.18

Summary:
ΔE_f in meV per atom: -557

10.
Compound: LaTmAu2
Source: the Alexandria database
Functional: PBE
Structure: optimized geometry

Unit cell a=3.6046 b=3.6046 c=7.5395 alpha=90.00 beta=90.00 gamma=90.00
Closest atoms and distances in Å follow each position.
Fractional coordinates of all 4 atoms:
La1 0.0000 0.0000 0.0000  8 Au 3.32, 4 La 3.60
Tm1 0.0000 0.0000 0.5000  8 Au 3.03
Au1 0.5000 0.5000 0.2820  4 Tm 3.03, 1 Au 3.29, 4 La 3.32
Au2 0.5000 0.5000 0.7180  4 Tm 3.03, 1 Au 3.29, 4 La 3.32

Summary:
ΔE_f in meV per atom: -844

11.
Compound: La2TmAu2
Source: the Alexandria database
Functional: PBE
Structure: optimized geometry

Unit cell a=6.4668 b=6.4668 c=6.4668 alpha=143.98 beta=112.81 gamma=78.66
Closest atoms and distances in Å follow each position.
Fractional coordinates of all 5 atoms:
La1 0.2004 0.2004 0.0000  4 Au 3.21
La2 0.7996 0.7996 0.0000  4 Au 3.21
Tm1 0.5000 0.0000 0.5000  4 Au 2.88
Au1 0.2102 0.5000 0.7102  2 Tm 2.88, 1 Au 3.01, 4 La 3.21
Au2 0.7898 0.5000 0.2898  2 Tm 2.88, 1 Au 3.01, 4 La 3.21

Summary:
Polymorph energy (0 for the lowest one) in eV per atom: 0.025
ΔE_f in meV per atom: -643

12.
Compound: La5TmAu6
Source: the Alexandria database
Functional: PBE
Structure: optimized geometry

Unit cell a=9.1773 b=9.1773 c=5.2670 alpha=106.56 beta=106.56 gamma=48.23
Closest atoms and distances in Å follow each position.
Fractional coordinates of all 12 atoms:
La1 0.0000 0.0000 0.0000  8 Au 3.20-3.36
La2 0.1644 0.1644 0.6643  8 Au 3.30-3.35
La3 0.3286 0.3286 0.3282  8 Au 3.17-3.38
La4 0.6714 0.6714 0.6718  8 Au 3.17-3.38
La5 0.8356 0.8356 0.3357  8 Au 3.30-3.35
Tm1 0.5000 0.5000 0.0000  8 Au 3.06-3.11
Au1 0.1083 0.5775 0.8426  1 Tm 3.06, 7 La 3.17-3.38
Au2 0.2790 0.7210 0.5000  2 Tm 3.11, 6 La 3.19-3.36, 1 Au 3.31
Au3 0.4225 0.8917 0.1574  1 Tm 3.06, 7 La 3.17-3.38
Au4 0.5775 0.1083 0.8426  1 Tm 3.06, 7 La 3.17-3.38
Au5 0.7210 0.2790 0.5000  2 Tm 3.11, 6 La 3.19-3.36, 1 Au 3.31
Au6 0.8917 0.4225 0.1574  1 Tm 3.06, 7 La 3.17-3.38

Summary:
ΔE_f in meV per atom: -792